Version i
## BeHgRh3 (PBE)

Data for a relaxed structure of BeHgRh3.

Cell and atoms, written as POSCAR:
```
BeHgRh3
1.0
-1.622 -1.462 3.595
-1.931 -3.076 -2.122
3.366 -2.469 0.515
Be Rh Hg
1 3 1
Direct
0.000 0.000 0.000
0.000 0.500 0.000
0.000 0.000 0.500
0.500 0.000 0.000
0.500 0.500 0.500
```

V: 14.88 Å³/atom
Total magnetization: 0.00 μB/f.u.

=====

Version ii
## BeHgRh3 (PBE)

Data for a relaxed structure of BeHgRh3.

Cell and atoms, written as POSCAR:
```
BeHgRh3
1.0
4.929 0.000 0.000
0.000 4.929 0.000
0.000 0.000 4.929
Be Rh Hg
1 3 1
Direct
0.500 0.500 0.500
0.000 0.500 0.000
0.000 0.000 0.500
0.500 0.000 0.000
0.000 0.000 0.000
```

V: 23.95 Å³/atom
Total magnetization: 2.47 μB/f.u.

=====

Energies relative to the most stable structure are version i 0.000; version ii 1.845, reported in eV/atom.

=====

Version i
## BeHgRu3 (PBE)

Data for a relaxed structure of BeHgRu3.

Cell and atoms, written as POSCAR:
```
BeHgRu3
1.0
4.955 0.000 0.000
0.000 4.955 0.000
0.000 0.000 4.955
Ru Hg Be
3 1 1
Direct
0.000 0.500 0.000
0.000 0.000 0.500
0.500 0.000 0.000
0.000 0.000 0.000
0.500 0.500 0.500
```

V: 24.34 Å³/atom
Total magnetization: 5.92 μB/f.u.

=====

Version ii
## BeHgRu3 (PBE)

Data for a relaxed structure of BeHgRu3.

Cell and atoms, written as POSCAR:
```
BeHgRu3
1.0
-1.641 -3.860 0.082
1.798 -0.685 3.728
-3.416 1.493 1.922
Ru Hg Be
3 1 1
Direct
0.000 0.500 0.000
0.000 0.000 0.500
0.500 0.000 0.000
0.500 0.500 0.500
0.000 0.000 0.000
```

V: 14.76 Å³/atom
Total magnetization: 2.00 μB/f.u.

=====

Energies relative to the most stable structure are version i 2.011; version ii 0.000, reported in eV/atom.

=====

Version i
## BeHg2S (PBE)

Data for a relaxed structure of BeHg2S.

Cell and atoms, written as POSCAR:
```
BeHg2S
1.0
-2.702 -5.387 -2.337
5.842 -2.205 -1.671
1.966 -5.666 1.849
Be S Hg
2 2 4
Direct
0.500 0.500 0.000
0.250 0.750 0.500
0.000 0.000 0.000
0.750 0.250 0.500
0.595 0.125 0.250
0.155 0.625 0.250
0.375 0.405 0.750
0.875 0.845 0.750
```

V: 22.46 Å³/atom
Total magnetization: 0.00 μB/f.u.

=====

Version ii
## BeHg2S (PBE)

Data for a relaxed structure of BeHg2S.

Cell and atoms, written as POSCAR:
```
BeHg2S
1.0
0.000 3.430 3.430
3.430 0.000 3.430
3.430 3.430 0.000
Be S Hg
1 1 2
Direct
0.000 0.000 0.000
0.500 0.500 0.500
0.250 0.250 0.250
0.750 0.750 0.750
```

V: 20.17 Å³/atom
Total magnetization: 0.00 μB/f.u.

=====

Energies relative to the most stable structure are version i 0.000; version ii 0.436, reported in eV/atom.

=====

Version i
## ScBeHg (PBE)

Data for a relaxed structure of ScBeHg.

Cell and atoms, written as POSCAR:
```
ScBeHg
1.0
-4.111 0.661 -1.013
-2.248 -3.082 -1.954
-3.091 -2.073 2.125
Sc Be Hg
1 1 1
Direct
0.500 0.500 0.500
0.750 0.750 0.750
0.000 0.000 0.000
```

V: 18.55 Å³/atom
Total magnetization: 0.00 μB/f.u.

=====

Version ii
## ScBeHg (PBE)

Data for a relaxed structure of ScBeHg.

Cell and atoms, written as POSCAR:
```
ScBeHg
1.0
4.913 -0.008 0.020
2.139 4.423 -0.020
-3.153 -2.804 2.518
Sc Be Hg
1 1 1
Direct
0.662 0.662 0.000
0.006 0.006 0.000
0.331 0.331 0.000
```

V: 18.21 Å³/atom
Total magnetization: 0.11 μB/f.u.

=====

Energies relative to the most stable structure are version i 0.000; version ii 0.173, reported in eV/atom.

=====

Version i
## ScBeHg (PBE)

Data for a relaxed structure of ScBeHg.

Cell and atoms, written as POSCAR:
```
ScBeHg
1.0
-1.739 2.199 3.557
2.093 -0.171 4.012
2.082 3.679 1.627
Sc Be Hg
1 1 1
Direct
0.750 0.750 0.750
0.000 0.000 0.000
0.500 0.500 0.500
```

V: 21.90 Å³/atom
Total magnetization: 0.00 μB/f.u.

=====

Version ii
## ScBeHg (PBE)

Data for a relaxed structure of ScBeHg.

Cell and atoms, written as POSCAR:
```
ScBeHg
1.0
4.280 0.000 0.000
-2.140 3.707 0.000
0.000 0.000 3.354
Sc Be Hg
1 1 1
Direct
0.333 0.667 0.667
0.000 0.000 0.166
0.667 0.333 0.167
```

V: 17.74 Å³/atom
Total magnetization: 0.00 μB/f.u.

=====

Version iii
## ScBeHg (PBE)

Data for a relaxed structure of ScBeHg.

Cell and atoms, written as POSCAR:
```
ScBeHg
1.0
-0.275 5.257 2.325
0.647 3.343 4.640
2.909 1.174 -0.187
Sc Be Hg
1 1 1
Direct
0.347 0.347 0.653
0.009 0.009 0.991
0.644 0.644 0.356
```

V: 17.47 Å³/atom
Total magnetization: 0.14 μB/f.u.

=====

Energies relative to the most stable structure are version i 0.679; version ii 0.000; version iii 0.180, reported in eV/atom.

=====

Version i
## ScBe3Hg (PBE)

Data for a relaxed structure of ScBe3Hg.

Cell and atoms, written as POSCAR:
```
ScBe3Hg
1.0
4.392 0.000 0.000
0.000 4.392 0.000
0.000 0.000 4.392
Sc Be Hg
1 3 1
Direct
0.500 0.500 0.500
0.000 0.500 0.000
0.000 0.000 0.500
0.500 0.000 0.000
0.000 0.000 0.000
```

V: 16.94 Å³/atom
Total magnetization: 0.00 μB/f.u.

=====

Version ii
## ScBe3Hg (PBE)

Data for a relaxed structure of ScBe3Hg.

Cell and atoms, written as POSCAR:
```
ScBe3Hg
1.0
4.883 0.000 0.000
0.000 4.883 0.000
0.000 0.000 4.883
Sc Be Hg
1 3 1
Direct
0.000 0.000 0.000
0.000 0.500 0.000
0.000 0.000 0.500
0.500 0.000 0.000
0.500 0.500 0.500
```

V: 23.29 Å³/atom
Total magnetization: 1.65 μB/f.u.

=====

Energies relative to the most stable structure are version i 0.000; version ii 1.046, reported in eV/atom.